No. 1
Computed, not measured: a geometry-optimized InGa2Au4 structure at the PBE level of DFT.

Lattice parameters (Å, degrees): 3.6649 5.2644 16.9831 98.63 64.44 110.38
With the nearest neighbours (Å) after each atom.
Positions (direct):
Au  0.6583  0.6143  0.0754  3 Ga 2.67-2.95, 1 In 2.86, 2 Au 2.88-2.89
Au  0.9593  0.6143  0.4247  3 Ga 2.67-2.95, 1 In 2.85, 2 Au 2.88-2.89
Au  0.3417  0.3857  0.9246  3 Ga 2.67-2.95, 1 In 2.85, 2 Au 2.88-2.89
Au  0.0406  0.3857  0.5753  3 Ga 2.67-2.95, 1 In 2.85, 2 Au 2.88-2.89
Au  0.8809  0.7451  0.7501  3 In 2.76-2.86, 4 Ga 2.79-2.83
Au  0.1191  0.2549  0.2499  3 In 2.76-2.86, 4 Ga 2.79-2.83
Au  0.5001  0.0000  0.0000  4 Ga 2.76, 4 Au 2.88-2.89
Au  0.4999  0.0000  0.5000  4 Ga 2.76, 4 Au 2.88-2.89
Ga  0.3398  0.2360  0.3891  7 Au 2.67-2.95, 1 In 2.98
Ga  0.1037  0.7642  0.8891  7 Au 2.67-2.95, 1 In 2.98
Ga  0.8964  0.2358  0.1108  7 Au 2.67-2.95, 1 In 2.98
Ga  0.6601  0.7640  0.6110  7 Au 2.67-2.95, 1 In 2.98
In  0.6084  0.1848  0.7499  5 Au 2.76-2.86, 2 Ga 2.98
In  0.3916  0.8152  0.2501  5 Au 2.76-2.86, 2 Ga 2.98

Output
Energy relative to the lowest polymorph listed for this composition ... 9 meV per atom
Energy of formation from the pure elements ... -122 meV per atom
M_tot ... 0.00 μB per atom
SG ... P2_1/m (11)
E_tot ... -3.25 eV per atom


No. 2
Computed, not measured: a geometry-optimized InGa2Au7 structure at the PBE level of DFT.

Lattice parameters (Å, degrees): 4.3293 7.8312 7.8313 122.81 90.00 90.00
With the nearest neighbours (Å) after each atom.
Positions (direct):
In  0.0000  0.0000  0.0000  10 Au 2.93-3.00
Ga  0.5000  0.6909  0.3091  5 Au 2.54-2.63
Ga  0.5000  0.3091  0.6909  5 Au 2.54-2.63
Au  0.0000  0.7869  0.2130  2 Ga 2.54
Au  0.0000  0.2131  0.7870  2 Ga 2.54
Au  0.5000  0.0783  0.2992  1 Ga 2.58, 2 Au 2.78-2.83
Au  0.5000  0.9217  0.7008  1 Ga 2.58, 2 Au 2.78-2.83
Au  0.5000  0.2992  0.0783  1 Ga 2.58, 2 Au 2.78-2.83
Au  0.5000  0.7008  0.9217  1 Ga 2.58, 2 Au 2.78-2.83
Au  0.5000  0.5000  0.5000  2 Ga 2.63, 4 Au 2.78

Output
Energy relative to the lowest polymorph listed for this composition ... 44 meV per atom
Energy of formation from the pure elements ... -36 meV per atom
M_tot ... 0.00 μB per atom
SG ... Cmmm (65)
E_tot ... -3.21 eV per atom


No. 3
Computed, not measured: a geometry-optimized In3GaAu3 structure at the PBE level of DFT.

Lattice parameters (Å, degrees): 6.9549 6.9549 7.0405 87.26 87.26 106.38
With the nearest neighbours (Å) after each atom.
Positions (direct):
In  0.5773  0.5773  0.3014  3 Au 2.74-3.04, 1 In 2.98
In  0.1380  0.8620  0.5000  6 Au 2.82-2.88, 1 In 3.07
In  0.8620  0.1380  0.5000  6 Au 2.82-2.88, 1 In 3.07
In  0.2384  0.7616  0.0000  4 Au 2.78-3.05
In  0.7616  0.2384  0.0000  4 Au 2.78-3.05
In  0.4227  0.4227  0.6986  3 Au 2.74-3.04, 1 In 2.98
Ga  0.7695  0.7695  0.8584  4 Au 2.59-2.75
Ga  0.2305  0.2305  0.1416  4 Au 2.59-2.75
Au  0.8993  0.8993  0.1851  2 Ga 2.62-2.75, 3 In 2.74-2.88
Au  0.8752  0.4971  0.6757  1 Ga 2.59, 3 In 2.78-2.86
Au  0.4971  0.8752  0.6757  1 Ga 2.59, 3 In 2.78-2.86
Au  0.1248  0.5029  0.3243  1 Ga 2.59, 3 In 2.78-2.86
Au  0.5029  0.1248  0.3243  1 Ga 2.59, 3 In 2.78-2.86
Au  0.1007  0.1007  0.8149  2 Ga 2.62-2.75, 3 In 2.74-2.88

Output
Energy of formation from the pure elements ... -127 meV per atom
M_tot ... 0.00 μB per atom
SG ... C2/m (12)
E_tot ... -3.14 eV per atom


No. 4
Computed, not measured: a geometry-optimized In2GaAu2 structure at the PBE level of DFT.

Lattice parameters (Å, degrees): 3.8647 3.8647 8.3047 76.55 76.55 90.00
With the nearest neighbours (Å) after each atom.
Positions (direct):
Au  0.7500  0.2500  0.5000  4 Au 2.73, 4 In 2.97
Au  0.2500  0.7500  0.5000  4 Au 2.73, 4 In 2.97
Ga  0.0000  0.0000  0.0000  8 In 3.20
In  0.3939  0.3939  0.2123  4 Au 2.97, 4 Ga 3.20
In  0.6061  0.6061  0.7877  4 Au 2.97, 4 Ga 3.20

Output
Energy relative to the lowest polymorph listed for this composition ... 174 meV per atom
Energy of formation from the pure elements ... -3 meV per atom
M_tot ... 0.00 μB per atom
SG ... I4/mmm (139)
E_tot ... -3.01 eV per atom


No. 5
Computed, not measured: a geometry-optimized InGa2Au6 structure at the PBE level of DFT.

Lattice parameters (Å, degrees): 4.3563 9.8173 9.8173 55.98 80.74 80.74
With the nearest neighbours (Å) after each atom.
Positions (direct):
In  0.2500  0.1423  0.8577  8 Au 2.83-3.08
In  0.7500  0.8577  0.1423  8 Au 2.83-3.08
Ga  0.3889  0.5060  0.8162  8 Au 2.63-2.89
Ga  0.1111  0.1838  0.4940  8 Au 2.63-2.89
Ga  0.6111  0.4940  0.1838  8 Au 2.63-2.89
Ga  0.8889  0.8162  0.5060  8 Au 2.63-2.89
Au  0.4475  0.6708  0.4637  3 Ga 2.71-2.87, 1 In 2.83, 4 Au 2.90-2.98
Au  0.0525  0.5363  0.3292  3 Ga 2.71-2.87, 1 In 2.83, 4 Au 2.90-2.98
Au  0.5525  0.3292  0.5363  3 Ga 2.71-2.87, 1 In 2.83, 4 Au 2.90-2.98
Au  0.9475  0.4637  0.6708  3 Ga 2.71-2.87, 1 In 2.83, 4 Au 2.90-2.98
Au  0.6511  0.1387  0.3526  4 Ga 2.64-2.89, 3 Au 2.94
Au  0.8489  0.6474  0.8613  4 Ga 2.64-2.89, 3 Au 2.94
Au  0.3489  0.8613  0.6474  4 Ga 2.64-2.89, 3 Au 2.94
Au  0.1511  0.3526  0.1387  4 Ga 2.64-2.89, 3 Au 2.94
Au  0.2970  0.7771  0.9907  1 Ga 2.63, 1 In 2.84, 3 Au 2.94
Au  0.2030  0.0093  0.2229  1 Ga 2.63, 1 In 2.84, 3 Au 2.94
Au  0.7030  0.2229  0.0093  1 Ga 2.63, 1 In 2.84, 3 Au 2.94
Au  0.7970  0.9907  0.7771  1 Ga 2.63, 1 In 2.84, 3 Au 2.94

Output
Energy of formation from the pure elements ... -133 meV per atom
M_tot ... 0.00 μB per atom
SG ... C2/c (15)
E_tot ... -3.30 eV per atom


No. 6
Computed, not measured: a geometry-optimized In2GaAu structure at the PBE level of DFT.

Lattice parameters (Å, degrees): 3.2578 3.2578 8.3916 90.00 90.00 90.00
With the nearest neighbours (Å) after each atom.
Positions (direct):
Au  0.5000  0.5000  0.0000  8 In 3.01, 4 Au 3.26
Ga  0.5000  0.5000  0.5000  8 In 3.23, 4 Ga 3.26
In  0.0000  0.0000  0.7700  4 Au 3.01, 4 Ga 3.23, 4 In 3.26
In  0.0000  0.0000  0.2300  4 Au 3.01, 4 Ga 3.23, 4 In 3.26

Output
Energy of formation from the pure elements ... -34 meV per atom
M_tot ... 0.00 μB per atom
SG ... P4/mmm (123)
E_tot ... -2.98 eV per atom


No. 7
Computed, not measured: a geometry-optimized InGa3Au structure at the PBE level of DFT.

Lattice parameters (Å, degrees): 6.1120 6.4277 6.4275 120.00 89.99 90.01
With the nearest neighbours (Å) after each atom.
Positions (direct):
In  0.7499  0.6667  0.3334  12 Ga 3.23-3.42
In  0.2501  0.3333  0.6666  12 Ga 3.23-3.42
Ga  0.7500  0.6100  0.8050  2 Au 2.65, 2 Ga 2.67
Ga  0.2500  0.8050  0.6100  2 Au 2.65, 2 Ga 2.67
Ga  0.2500  0.3900  0.1950  2 Au 2.65, 2 Ga 2.67
Ga  0.7500  0.1950  0.3900  2 Au 2.65, 2 Ga 2.67
Ga  0.2499  0.8050  0.1950  2 Au 2.65, 2 Ga 2.67
Ga  0.7501  0.1950  0.8051  2 Au 2.65, 2 Ga 2.67
Au  0.0000  0.0000  0.0000  6 Ga 2.65
Au  0.5000  0.0000  0.0000  6 Ga 2.65

Output
Energy relative to the lowest polymorph listed for this composition ... 69 meV per atom
Energy of formation from the pure elements ... -13 meV per atom
M_tot ... 0.00 μB per atom
SG ... P6_3/mmc (194)
E_tot ... -3.03 eV per atom